First-principles (PBE+U) data for a geometry-optimized HfNpMnO6 structure, as listed in Alexandria via LeMat-Bulk.

Unit cell a=5.5330 b=5.5330 c=9.1722 alpha=90.00 beta=90.00 gamma=120.00
With the nearest neighbours (Å) after each atom.
Positions (direct):
Hf: 0.3333 0.6667 0.2500  6 O 2.10
Hf: 0.6667 0.3333 0.7500  6 O 2.10
Np: 0.3333 0.6667 0.7500  6 O 2.08
Np: 0.6667 0.3333 0.2500  6 O 2.08
Mn: 0.0000 0.0000 0.0000  6 O 2.30
Mn: 0.0000 0.0000 0.5000  6 O 2.30
O: 0.0019 0.3511 0.8656  1 Np 2.08, 1 Hf 2.10, 1 Mn 2.30
O: 0.0019 0.6508 0.6344  1 Np 2.08, 1 Hf 2.10, 1 Mn 2.30
O: 0.3492 0.3511 0.6344  1 Np 2.08, 1 Hf 2.10, 1 Mn 2.30
O: 0.3492 0.9981 0.8656  1 Np 2.08, 1 Hf 2.10, 1 Mn 2.30
O: 0.3511 0.0019 0.3656  1 Np 2.08, 1 Hf 2.10, 1 Mn 2.30
O: 0.3511 0.3492 0.1344  1 Np 2.08, 1 Hf 2.10, 1 Mn 2.30
O: 0.6489 0.6508 0.8656  1 Np 2.08, 1 Hf 2.10, 1 Mn 2.30
O: 0.6489 0.9981 0.6344  1 Np 2.08, 1 Hf 2.10, 1 Mn 2.30
O: 0.6508 0.0019 0.1344  1 Np 2.08, 1 Hf 2.10, 1 Mn 2.30
O: 0.6508 0.6489 0.3656  1 Np 2.08, 1 Hf 2.10, 1 Mn 2.30
O: 0.9981 0.3492 0.3656  1 Np 2.08, 1 Hf 2.10, 1 Mn 2.30
O: 0.9981 0.6489 0.1344  1 Np 2.08, 1 Hf 2.10, 1 Mn 2.30

Summary:
For the raw total energy, the calculation gives -9.3891 eV per atom. For the total magnetization, the calculation gives 12.00 μB/cell.